## Ac2AlTl (PBE-GGA)

Data for Ac2AlTl after structural relaxation.

Results
Crystal system ... orthorhombic
Electronic total energy ... -0.1426 Ha/atom
Mass density ... 8.2 g/cm³
Size of the total moment ... 0.000 μB/atom
Calculated volume ... 138.2 Å³/f.u.

Lattice parameters (Å, degrees): 4.562 4.939 12.267 90.00 90.00 90.00
Space group Amm2 (No. 38)
One atom of each set of equivalent atoms:
Ac 0.000 0.000 0.000 (multiplicity 2)
Ac 0.500 0.000 0.283 (multiplicity 2)
Al 0.000 0.000 0.714 (multiplicity 2)
Tl 0.500 0.000 0.571 (multiplicity 2)